First-principles (GGA-PBE) data for an optimized crystal structure of SnMo2As, as listed in the Alexandria database.

Structure (POSCAR):
```
SnMo2As
1.0
0.020 -4.553 0.469
-2.724 -2.582 -2.620
1.805 -2.631 -3.282
Mo As Sn
2 1 1
direct
0.250 0.250 0.250
0.750 0.750 0.750
0.000 0.000 0.000
0.500 0.500 0.500
```

The energy relative to the lowest polymorph listed for this composition comes out at 0 meV/atom. The formation energy is 0.278 eV per atom. As for the spin magnetization: 0.007 Bohr magnetons per cell.

=====

First-principles (GGA-PBE) data for an optimized crystal structure of SnMoAs2, as listed in the Alexandria database.

Structure (POSCAR):
```
SnMoAs2
1.0
2.962 0.000 0.000
1.481 2.566 0.000
1.481 0.855 10.894
As Mo Sn
2 1 1
direct
0.921 0.921 0.236
0.079 0.079 0.764
0.000 0.000 0.000
0.500 0.500 0.500
```

The formation energy is 0.627 eV per atom. As for the spin magnetization: 0.000 Bohr magnetons per cell.

=====

First-principles (GGA-PBE) data for an optimized crystal structure of SnMoAs, as listed in the Alexandria database.

Structure (POSCAR):
```
SnMoAs
1.0
-4.467 -0.821 -4.924
-1.742 -5.981 1.910
-6.213 -0.138 2.709
Sn Mo As
4 4 4
direct
0.391 0.859 0.649
0.160 0.365 0.722
0.676 0.365 0.266
0.116 0.137 0.339
0.450 0.404 0.952
0.546 0.009 0.172
0.074 0.605 0.055
0.945 0.964 0.814
0.815 0.624 0.795
0.890 0.884 0.228
0.607 0.138 0.750
0.337 0.646 0.257
```

The formation energy is 0.068 eV per atom. As for the spin magnetization: 0.000 Bohr magnetons per cell.

=====

First-principles (GGA-PBE) data for an optimized crystal structure of SnMo3As, as listed in the Alexandria database.

Structure (POSCAR):
```
SnMo3As
1.0
-4.438 0.384 1.273
-1.042 -3.758 -2.501
0.825 -2.682 3.686
Mo As Sn
3 1 1
direct
0.000 0.000 0.500
0.000 0.500 0.000
0.500 0.000 0.000
0.000 0.000 0.000
0.500 0.500 0.500
```

The energy relative to the lowest polymorph listed for this composition comes out at 0 meV/atom. The formation energy is 0.927 eV per atom. As for the spin magnetization: 0.000 Bohr magnetons per cell.

=====

First-principles (GGA-PBE) data for an optimized crystal structure of SnMoAs2, as listed in the Alexandria database.

Structure (POSCAR):
```
SnMoAs2
1.0
3.217 0.000 0.000
0.000 3.217 0.000
0.000 0.000 7.428
As Sn Mo
2 1 1
direct
0.000 0.000 0.806
0.000 0.000 0.194
0.500 0.500 0.500
0.500 0.500 0.000
```

The formation energy is -0.055 eV per atom. As for the spin magnetization: 0.000 Bohr magnetons per cell.

=====

First-principles (GGA-PBE) data for an optimized crystal structure of SnMoAs2, as listed in the Alexandria database.

Structure (POSCAR):
```
SnMoAs2
1.0
5.921 0.000 0.000
0.000 5.921 0.000
2.961 2.961 6.225
Sn Mo As
2 2 4
direct
0.000 0.000 0.000
0.750 0.250 0.500
0.500 0.500 0.000
0.250 0.750 0.500
0.875 0.818 0.750
0.182 0.625 0.250
0.568 0.125 0.250
0.375 0.432 0.750
```

The formation energy is 0.301 eV per atom. As for the spin magnetization: 0.000 Bohr magnetons per cell.

=====

First-principles (GGA-PBE) data for an optimized crystal structure of SnMo2As, as listed in the Alexandria database.

Structure (POSCAR):
```
SnMo2As
1.0
-1.913 -3.592 0.521
2.989 -1.894 -2.076
5.220 -4.081 7.184
Mo Sn As
4 2 2
direct
0.375 0.442 0.750
0.192 0.625 0.250
0.875 0.808 0.750
0.558 0.125 0.250
0.750 0.250 0.500
0.000 0.000 0.000
0.250 0.750 0.500
0.500 0.500 0.000
```

The energy relative to the lowest polymorph listed for this composition comes out at 213 meV/atom. The formation energy is 0.491 eV per atom. As for the spin magnetization: 0.000 Bohr magnetons per cell.

=====

First-principles (GGA-PBE) data for an optimized crystal structure of SnMo3As, as listed in the Alexandria database.

Structure (POSCAR):
```
SnMo3As
1.0
-2.158 1.439 4.191
-4.199 0.826 -2.446
-1.416 -4.642 0.864
Mo Sn As
3 1 1
direct
0.500 0.000 0.000
0.000 0.500 0.000
0.000 0.000 0.500
0.000 0.000 0.000
0.500 0.500 0.500
```

The energy relative to the lowest polymorph listed for this composition comes out at 1345 meV/atom. The formation energy is 2.272 eV per atom. As for the spin magnetization: 2.762 Bohr magnetons per cell.

=====

First-principles (GGA-PBE) data for an optimized crystal structure of SnMoAs2, as listed in the Alexandria database.

Structure (POSCAR):
```
SnMoAs2
1.0
-0.347 2.323 -2.482
-2.330 -0.460 -2.457
-6.303 4.518 2.757
Mo As Sn
1 2 1
direct
0.666 0.666 0.002
0.069 0.069 0.794
0.263 0.263 0.210
0.502 0.502 0.493
```

The formation energy is -0.006 eV per atom. As for the spin magnetization: 0.000 Bohr magnetons per cell.

=====

First-principles (GGA-PBE) data for an optimized crystal structure of Y2SnMoAs, as listed in the Alexandria database.

Structure (POSCAR):
```
Y2SnMoAs
1.0
-1.130 5.222 -0.321
-4.537 -0.949 0.545
0.544 0.444 5.306
As Mo Y Sn
1 1 2 1
direct
0.000 0.000 0.000
0.000 0.500 0.000
0.500 0.000 0.000
0.000 0.000 0.500
0.500 0.500 0.500
```

The formation energy is -0.121 eV per atom. As for the spin magnetization: 0.000 Bohr magnetons per cell.

=====

First-principles (GGA-PBE) data for an optimized crystal structure of SrMoAs2, as listed in the Alexandria database.

Structure (POSCAR):
```
SrMoAs2
1.0
-5.866 -2.749 -1.175
4.123 -2.598 1.031
-1.048 -1.515 2.963
Sr As Mo
1 2 1
direct
0.500 0.500 0.000
0.000 0.000 0.000
0.500 0.000 0.500
0.000 0.500 0.500
```

The energy relative to the lowest polymorph listed for this composition comes out at 585 meV/atom. The formation energy is 0.157 eV per atom. As for the spin magnetization: 0.000 Bohr magnetons per cell.

=====

First-principles (GGA-PBE) data for an optimized crystal structure of SrMoAs2, as listed in the Alexandria database.

Structure (POSCAR):
```
SrMoAs2
1.0
3.279 0.000 0.000
0.000 3.279 0.000
0.000 0.000 7.415
As Mo Sr
2 1 1
direct
0.000 0.000 0.446
0.000 0.000 0.054
0.500 0.500 0.250
0.500 0.500 0.750
```

The energy relative to the lowest polymorph listed for this composition comes out at 24 meV/atom. The formation energy is -0.404 eV per atom. As for the spin magnetization: 0.000 Bohr magnetons per cell.

=====

First-principles (GGA-PBE) data for an optimized crystal structure of SrMoAs2, as listed in the Alexandria database.

Structure (POSCAR):
```
SrMoAs2
1.0
-1.624 -4.437 -0.813
3.481 -1.328 0.291
1.000 -1.402 5.651
Sr As Mo
1 2 1
direct
0.500 0.657 0.812
0.500 0.377 0.371
0.000 0.058 0.009
0.000 0.408 0.308
```

The energy relative to the lowest polymorph listed for this composition comes out at 162 meV/atom. The formation energy is -0.266 eV per atom. As for the spin magnetization: 0.000 Bohr magnetons per cell.

=====

First-principles (GGA-PBE) data for an optimized crystal structure of Sr4MoAs, as listed in the Alexandria database.

Structure (POSCAR):
```
Sr4MoAs
1.0
-3.893 -3.804 4.065
-3.959 2.963 4.658
-6.748 0.003 -0.783
Sr Mo As
4 1 1
direct
0.375 0.375 0.375
0.375 0.875 0.375
0.875 0.375 0.375
0.375 0.375 0.875
0.000 0.000 0.000
0.750 0.750 0.750
```

The formation energy is 0.989 eV per atom. As for the spin magnetization: 3.137 Bohr magnetons per cell.

=====

First-principles (GGA-PBE) data for an optimized crystal structure of SrMo2As, as listed in the Alexandria database.

Structure (POSCAR):
```
SrMo2As
1.0
3.332 0.000 0.000
0.000 3.332 0.000
0.000 0.000 7.475
Mo As Sr
2 1 1
direct
0.500 0.500 0.175
0.000 0.000 0.005
0.500 0.500 0.813
0.000 0.000 0.507
```

The formation energy is 0.110 eV per atom. As for the spin magnetization: 0.441 Bohr magnetons per cell.

=====

First-principles (GGA-PBE) data for an optimized crystal structure of SrMo2As, as listed in the Alexandria database.

Structure (POSCAR):
```
SrMo2As
1.0
-5.127 -2.476 0.002
3.426 -0.560 4.513
-1.112 2.304 1.130
Mo Sr As
2 1 1
direct
0.000 0.000 0.000
0.500 0.500 0.000
0.500 0.000 0.500
0.000 0.500 0.500
```

The formation energy is 0.944 eV per atom. As for the spin magnetization: 0.000 Bohr magnetons per cell.

=====

First-principles (GGA-PBE) data for an optimized crystal structure of SrMo2As2, as listed in the Alexandria database.

Structure (POSCAR):
```
SrMo2As2
1.0
-2.025 3.163 1.085
-2.505 -0.595 -2.942
-6.215 -2.674 3.235
Mo As Sr
2 2 1
direct
0.250 0.750 0.500
0.750 0.250 0.500
0.627 0.627 0.747
0.373 0.373 0.253
0.000 0.000 0.000
```

The energy relative to the lowest polymorph listed for this composition comes out at 0 meV/atom. The formation energy is -0.465 eV per atom. As for the spin magnetization: 0.000 Bohr magnetons per cell.

=====

First-principles (GGA-PBE) data for an optimized crystal structure of SrMoAs2, as listed in the Alexandria database.

Structure (POSCAR):
```
SrMoAs2
1.0
5.793 -0.007 0.004
1.457 5.607 -0.004
-2.390 -4.398 2.916
As Mo Sr
2 1 1
direct
0.544 0.544 0.000
0.956 0.956 0.000
0.750 0.250 0.500
0.250 0.750 0.500
```

The energy relative to the lowest polymorph listed for this composition comes out at 258 meV/atom. The formation energy is -0.171 eV per atom. As for the spin magnetization: 0.000 Bohr magnetons per cell.

=====

First-principles (GGA-PBE) data for an optimized crystal structure of SrMo2As, as listed in the Alexandria database.

Structure (POSCAR):
```
SrMo2As
1.0
-1.314 6.034 -0.405
-3.665 2.366 -4.389
1.161 -3.532 4.947
Sr Mo As
1 2 1
direct
0.750 0.250 0.500
0.044 0.044 0.000
0.456 0.456 0.000
0.250 0.750 0.500
```

The formation energy is 0.510 eV per atom. As for the spin magnetization: 0.000 Bohr magnetons per cell.

=====

First-principles (GGA-PBE) data for an optimized crystal structure of SrMoAs2, as listed in the Alexandria database.

Structure (POSCAR):
```
SrMoAs2
1.0
0.000 3.436 3.436
3.436 0.000 3.436
3.436 3.436 0.000
Mo As Sr
1 2 1
direct
0.500 0.500 0.500
0.750 0.750 0.750
0.250 0.250 0.250
0.000 0.000 0.000
```

The energy relative to the lowest polymorph listed for this composition comes out at 397 meV/atom. The formation energy is -0.032 eV per atom. As for the spin magnetization: 1.474 Bohr magnetons per cell.

=====

no.,Fermi-level density of states (states/eV/f.u.)
1,6.17
2,5.42
3,1.56
4,5.22
5,2.01
6,1.60
7,2.93
8,5.88
9,1.74
10,3.25
11,2.73
12,1.32
13,2.08
14,4.51
15,3.12
16,3.82
17,3.31
18,1.56
19,3.32
20,3.95